## ZnInI2Br (PBE-GGA)

Data for crystalline ZnInI2Br at its relaxed geometry.

Lattice parameters (Å, degrees): 5.7129 5.7129 5.1656 90.00 90.00 90.00
Element x y z (fractional)
1 In 0.5000 0.5000 0.5000
2 Br 0.0000 0.0000 0.5000
3 I 0.0000 0.5000 0.0000
4 Zn 0.0000 0.0000 0.0000
5 I 0.5000 0.0000 0.0000

Raw total energy: -11.0 eV/cell
Spin magnetization: 0.00 μB per formula unit
Space group: P4/mmm
Raw formation energy: -0.45 eV/atom